#P
First-principles (PBE) data for a geometry-optimized LuBePt structure, as listed in the Open Quantum Materials Database.

Cell and atoms, written as POSCAR:
```
LuBePt
1.0
6.214 0.000 0.000
0.000 6.214 0.000
0.000 0.000 6.214
Lu Be Pt
4 4 4
Direct
0.000 0.000 0.000
0.000 0.500 0.500
0.500 0.000 0.500
0.500 0.500 0.000
0.000 0.000 0.500
0.000 0.500 0.000
0.500 0.000 0.000
0.500 0.500 0.500
0.250 0.250 0.750
0.250 0.750 0.250
0.750 0.250 0.250
0.750 0.750 0.750
```

## Properties
- Space-group type: F-43m (216)

***

#Q
First-principles (PBE) data for a geometry-optimized LuBePt structure, as listed in the Open Quantum Materials Database.

Cell and atoms, written as POSCAR:
```
LuBePt
1.0
6.311 0.000 0.000
0.000 6.311 0.000
0.000 0.000 6.311
Lu Be Pt
4 4 4
Direct
0.000 0.000 0.000
0.000 0.500 0.500
0.500 0.000 0.500
0.500 0.500 0.000
0.250 0.250 0.750
0.250 0.750 0.250
0.750 0.250 0.250
0.750 0.750 0.750
0.250 0.250 0.250
0.250 0.750 0.750
0.750 0.250 0.750
0.750 0.750 0.250
```

## Properties
- Space-group type: F-43m (216)

***

Result of the stability comparison: #Q is the least stable of them.

***

#P
First-principles (PBE) data for a geometry-optimized YLuBePt structure, as listed in the Open Quantum Materials Database.

Cell and atoms, written as POSCAR:
```
YLuBePt
1.0
6.645 0.000 0.000
0.000 6.645 0.000
0.000 0.000 6.645
Y Lu Be Pt
4 4 4 4
Direct
0.000 0.000 0.000
0.000 0.500 0.500
0.500 0.000 0.500
0.500 0.500 0.000
0.250 0.250 0.750
0.250 0.750 0.250
0.750 0.250 0.250
0.750 0.750 0.750
0.250 0.250 0.250
0.250 0.750 0.750
0.750 0.250 0.750
0.750 0.750 0.250
0.000 0.000 0.500
0.000 0.500 0.000
0.500 0.000 0.000
0.500 0.500 0.500
```

## Properties
- Space-group type: F-43m (216)

***

#Q
First-principles (PBE) data for a geometry-optimized YLuBePt structure, as listed in the Open Quantum Materials Database.

Cell and atoms, written as POSCAR:
```
YLuBePt
1.0
6.862 0.000 0.000
0.000 6.862 0.000
0.000 0.000 6.862
Y Lu Be Pt
4 4 4 4
Direct
0.000 0.000 0.000
0.000 0.500 0.500
0.500 0.000 0.500
0.500 0.500 0.000
0.000 0.000 0.500
0.000 0.500 0.000
0.500 0.000 0.000
0.500 0.500 0.500
0.250 0.250 0.250
0.250 0.750 0.750
0.750 0.250 0.750
0.750 0.750 0.250
0.250 0.250 0.750
0.250 0.750 0.250
0.750 0.250 0.250
0.750 0.750 0.750
```

## Properties
- Space-group type: F-43m (216)

***

Result of the stability comparison: #P is the least stable of them.

***

#P
First-principles (PBE) data for a geometry-optimized LuBeRe structure, as listed in the Open Quantum Materials Database.

Cell and atoms, written as POSCAR:
```
LuBeRe
1.0
6.140 0.000 0.000
0.000 6.140 0.000
0.000 0.000 6.140
Lu Be Re
4 4 4
Direct
0.000 0.000 0.000
0.000 0.500 0.500
0.500 0.000 0.500
0.500 0.500 0.000
0.000 0.000 0.500
0.000 0.500 0.000
0.500 0.000 0.000
0.500 0.500 0.500
0.250 0.250 0.750
0.250 0.750 0.250
0.750 0.250 0.250
0.750 0.750 0.750
```

## Properties
- Space-group type: F-43m (216)

***

#Q
First-principles (PBE) data for a geometry-optimized LuBeRe structure, as listed in the Open Quantum Materials Database.

Cell and atoms, written as POSCAR:
```
LuBeRe
1.0
6.324 0.000 0.000
0.000 6.324 0.000
0.000 0.000 6.324
Lu Be Re
4 4 4
Direct
0.000 0.000 0.000
0.000 0.500 0.500
0.500 0.000 0.500
0.500 0.500 0.000
0.250 0.250 0.750
0.250 0.750 0.250
0.750 0.250 0.250
0.750 0.750 0.750
0.250 0.250 0.250
0.250 0.750 0.750
0.750 0.250 0.750
0.750 0.750 0.250
```

## Properties
- Space-group type: F-43m (216)

***

Result of the stability comparison: #Q is the least stable of them.

***

#P
First-principles (PBE) data for a geometry-optimized LuBeReW structure, as listed in the Open Quantum Materials Database.

Cell and atoms, written as POSCAR:
```
LuBeReW
1.0
6.360 0.000 0.000
0.000 6.360 0.000
0.000 0.000 6.360
Lu Be Re W
4 4 4 4
Direct
0.000 0.000 0.000
0.000 0.500 0.500
0.500 0.000 0.500
0.500 0.500 0.000
0.250 0.250 0.750
0.250 0.750 0.250
0.750 0.250 0.250
0.750 0.750 0.750
0.250 0.250 0.250
0.250 0.750 0.750
0.750 0.250 0.750
0.750 0.750 0.250
0.000 0.000 0.500
0.000 0.500 0.000
0.500 0.000 0.000
0.500 0.500 0.500
```

## Properties
- Space-group type: F-43m (216)

***

#Q
First-principles (PBE) data for a geometry-optimized LuBeReW structure, as listed in the Open Quantum Materials Database.

Cell and atoms, written as POSCAR:
```
LuBeReW
1.0
6.329 0.000 0.000
0.000 6.329 0.000
0.000 0.000 6.329
Lu Be Re W
4 4 4 4
Direct
0.000 0.000 0.000
0.000 0.500 0.500
0.500 0.000 0.500
0.500 0.500 0.000
0.250 0.250 0.250
0.250 0.750 0.750
0.750 0.250 0.750
0.750 0.750 0.250
0.000 0.000 0.500
0.000 0.500 0.000
0.500 0.000 0.000
0.500 0.500 0.500
0.250 0.250 0.750
0.250 0.750 0.250
0.750 0.250 0.250
0.750 0.750 0.750
```

## Properties
- Space-group type: F-43m (216)

***

#R
First-principles (PBE) data for a geometry-optimized LuBeReW structure, as listed in the Open Quantum Materials Database.

Cell and atoms, written as POSCAR:
```
LuBeReW
1.0
6.305 0.000 0.000
0.000 6.305 0.000
0.000 0.000 6.305
Lu Be Re W
4 4 4 4
Direct
0.000 0.000 0.000
0.000 0.500 0.500
0.500 0.000 0.500
0.500 0.500 0.000
0.000 0.000 0.500
0.000 0.500 0.000
0.500 0.000 0.000
0.500 0.500 0.500
0.250 0.250 0.750
0.250 0.750 0.250
0.750 0.250 0.250
0.750 0.750 0.750
0.250 0.250 0.250
0.250 0.750 0.750
0.750 0.250 0.750
0.750 0.750 0.250
```

## Properties
- Space-group type: F-43m (216)

***

Result of the stability comparison: #R is the least stable of them.